## i
VASP calculation (GGA-PBE) on a relaxed DyTmMgRu crystal.

abc: 7.0545 7.0545 7.0545
angles: 90.00 90.00 90.00
Closest atoms and distances in Å follow each position.
Atoms (fractional coordinates):
Dy: 0.0000 0.0000 0.0000  4 Mg 3.05, 4 Ru 3.05
Dy: 0.0000 0.5000 0.5000  4 Ru 3.05, 4 Mg 3.05
Dy: 0.5000 0.0000 0.5000  4 Ru 3.05, 4 Mg 3.05
Dy: 0.5000 0.5000 0.0000  4 Ru 3.05, 4 Mg 3.05
Tm: 0.0000 0.0000 0.5000  4 Ru 3.05, 4 Mg 3.05
Tm: 0.0000 0.5000 0.0000  4 Ru 3.05, 4 Mg 3.05
Tm: 0.5000 0.0000 0.0000  4 Ru 3.05, 4 Mg 3.05
Tm: 0.5000 0.5000 0.5000  4 Ru 3.05, 4 Mg 3.05
Mg: 0.2500 0.2500 0.7500  4 Dy 3.05, 4 Tm 3.05
Mg: 0.2500 0.7500 0.2500  4 Dy 3.05, 4 Tm 3.05
Mg: 0.7500 0.2500 0.2500  4 Dy 3.05, 4 Tm 3.05
Mg: 0.7500 0.7500 0.7500  4 Dy 3.05, 4 Tm 3.05
Ru: 0.2500 0.2500 0.2500  4 Tm 3.05, 4 Dy 3.05
Ru: 0.2500 0.7500 0.7500  4 Dy 3.05, 4 Tm 3.05
Ru: 0.7500 0.2500 0.7500  4 Dy 3.05, 4 Tm 3.05
Ru: 0.7500 0.7500 0.2500  4 Dy 3.05, 4 Tm 3.05

Total magnetization = 0.000 μB per atom
Calculated density = 8.64 g cm⁻³
Space group = No. 216



## ii
VASP calculation (GGA-PBE) on a relaxed DyTmMgRu crystal.

abc: 3.4190 3.4190 8.0598
angles: 90.00 90.00 90.00
Closest atoms and distances in Å follow each position.
Atoms (fractional coordinates):
Dy: 0.0000 0.0000 0.0000  4 Ru 2.94, 1 Tm 3.27
Tm: 0.0000 0.0000 0.5945  4 Ru 2.90
Mg: 0.5000 0.5000 0.3009  4 Tm 3.38, 4 Mg 3.42, 4 Dy 3.42
Ru: 0.5000 0.5000 0.7932  4 Tm 2.90, 4 Dy 2.94

Total magnetization = 0.000 μB per atom
Calculated density = 8.05 g cm⁻³
Space group = No. 99



Relative energies in meV per atom: i 102; ii 0



## i
VASP calculation (GGA-PBE) on a relaxed Dy2MgS crystal.

abc: 3.6652 3.6652 29.3863
angles: 90.00 90.00 120.00
Closest atoms and distances in Å follow each position.
Atoms (fractional coordinates):
Dy: 0.0000 0.0000 0.1108  3 S 2.68
Dy: 0.0000 0.0000 0.8892  3 S 2.68
Dy: 0.3333 0.6667 0.5559  3 S 2.68
Dy: 0.3333 0.6667 0.7775  3 S 2.68
Dy: 0.6667 0.3333 0.2225  3 S 2.68
Dy: 0.6667 0.3333 0.4441  3 S 2.68
Mg: 0.0000 0.0000 0.0000  2 Dy 3.26
Mg: 0.3333 0.6667 0.6667  2 Dy 3.26
Mg: 0.6667 0.3333 0.3333  2 Dy 3.26
S: 0.0000 0.0000 0.5000  6 Dy 2.68
S: 0.3333 0.6667 0.1667  6 Dy 2.68
S: 0.6667 0.3333 0.8333  6 Dy 2.68

Total magnetization = 0.000 μB per atom
Calculated density = 5.56 g cm⁻³
Space group = No. 166



## ii
VASP calculation (GGA-PBE) on a relaxed Dy2MgS crystal.

abc: 3.7509 3.7509 25.6847
angles: 90.00 90.00 120.00
Closest atoms and distances in Å follow each position.
Atoms (fractional coordinates):
Dy: 0.0000 0.0000 0.0000  3 S 2.69
Dy: 0.0000 0.0000 0.2073  3 S 2.71
Dy: 0.3333 0.6667 0.6667  3 S 2.69
Dy: 0.3333 0.6667 0.8739  3 S 2.71
Dy: 0.6667 0.3333 0.3333  3 S 2.69
Dy: 0.6667 0.3333 0.5406  3 S 2.71
Mg: 0.0000 0.0000 0.4367  6 Dy 3.43-3.44, 6 Mg 3.75
Mg: 0.3333 0.6667 0.1034  6 Dy 3.43-3.44, 6 Mg 3.75
Mg: 0.6667 0.3333 0.7701  6 Dy 3.43-3.44, 6 Mg 3.75
S: 0.0000 0.0000 0.6042  6 Dy 2.69-2.71
S: 0.3333 0.6667 0.2709  6 Dy 2.69-2.71
S: 0.6667 0.3333 0.9376  6 Dy 2.69-2.71

Total magnetization = 0.000 μB per atom
Calculated density = 6.07 g cm⁻³
Space group = No. 160



Relative energies in meV per atom: i 244; ii 0



## i
VASP calculation (GGA-PBE) on a relaxed DyMg2W3S8 crystal.

abc: 7.2046 7.2046 7.5182
angles: 118.35 118.35 63.70
Closest atoms and distances in Å follow each position.
Atoms (fractional coordinates):
Dy: 0.0000 0.0000 0.0000  6 S 2.70
Mg: 0.3746 0.3746 0.1180  4 S 2.42-2.48
Mg: 0.6254 0.6254 0.8820  4 S 2.42-2.48
W: 0.0000 0.0000 0.5000  6 S 2.50-2.52
W: 0.0000 0.5000 0.5000  6 S 2.48-2.53
W: 0.5000 0.0000 0.5000  6 S 2.48-2.53
S: 0.2298 0.7591 0.7261  1 Mg 2.43, 2 W 2.48-2.50, 1 Dy 2.70
S: 0.2409 0.7702 0.2739  1 Mg 2.43, 2 W 2.48-2.50, 1 Dy 2.70
S: 0.2484 0.2484 0.7202  1 Mg 2.48, 3 W 2.52-2.53
S: 0.2623 0.2623 0.2990  1 Mg 2.42, 2 W 2.48, 1 Dy 2.70
S: 0.7377 0.7377 0.7010  1 Mg 2.42, 2 W 2.48, 1 Dy 2.70
S: 0.7516 0.7516 0.2798  1 Mg 2.48, 3 W 2.52-2.53
S: 0.7591 0.2298 0.7261  1 Mg 2.43, 2 W 2.48-2.50, 1 Dy 2.70
S: 0.7702 0.2409 0.2739  1 Mg 2.43, 2 W 2.48-2.50, 1 Dy 2.70

Total magnetization = 0.185 μB per atom
Calculated density = 5.83 g cm⁻³
Space group = No. 12



## ii
VASP calculation (GGA-PBE) on a relaxed DyMg2W3S8 crystal.

abc: 7.0440 7.0440 7.6616
angles: 118.61 118.61 59.14
Closest atoms and distances in Å follow each position.
Atoms (fractional coordinates):
Dy: 0.0000 0.0000 0.0000  6 S 2.60-2.77
Mg: 0.3492 0.3492 0.0489  4 S 2.44-2.53
Mg: 0.5103 0.5103 0.5266  6 S 2.42-2.55
W: 0.5808 0.9656 0.4977  5 S 2.38-2.66
W: 0.9656 0.5808 0.4977  5 S 2.38-2.66
W: 0.9756 0.9756 0.4863  6 S 2.39-2.65
S: 0.2325 0.2325 0.6683  1 Mg 2.44, 3 W 2.65-2.69
S: 0.2477 0.7647 0.7398  2 W 2.42-2.44, 1 Mg 2.45, 1 Dy 2.64
S: 0.2676 0.2676 0.2873  2 Mg 2.49-2.52, 2 W 2.66, 1 Dy 2.77
S: 0.2760 0.7647 0.2877  2 Mg 2.53-2.55, 2 W 2.59-2.61, 1 Dy 2.73
S: 0.7473 0.7473 0.2206  3 W 2.38-2.39
S: 0.7468 0.7468 0.7403  1 Mg 2.42, 2 W 2.45, 1 Dy 2.60
S: 0.7647 0.2477 0.7398  2 W 2.42-2.44, 1 Mg 2.45, 1 Dy 2.64
S: 0.7647 0.2760 0.2877  2 Mg 2.53-2.55, 2 W 2.59-2.61, 1 Dy 2.73

Total magnetization = 0.069 μB per atom
Calculated density = 6.21 g cm⁻³
Space group = No. 8



Relative energies in meV per atom: i 213; ii 0



## i
VASP calculation (GGA-PBE) on a relaxed DyMgSb crystal.

abc: 4.7069 4.7069 3.9760
angles: 90.00 90.00 120.00
Closest atoms and distances in Å follow each position.
Atoms (fractional coordinates):
Dy: 0.0000 0.0000 0.0000  6 Sb 3.37, 6 Mg 3.37
Mg: 0.6667 0.3333 0.5000  3 Sb 2.72
Sb: 0.3333 0.6667 0.5000  3 Mg 2.72

Total magnetization = 0.000 μB per atom
Calculated density = 6.72 g cm⁻³
Space group = No. 187



## ii
VASP calculation (GGA-PBE) on a relaxed DyMgSb crystal.

abc: 4.3482 9.5043 4.2834
angles: 90.00 90.00 90.00
Closest atoms and distances in Å follow each position.
Atoms (fractional coordinates):
Dy: 0.0000 0.1713 0.0000  5 Sb 3.06-3.09
Dy: 0.5000 0.8287 0.5000  5 Sb 3.06-3.09
Mg: 0.0000 0.5486 0.9936  1 Sb 2.83
Mg: 0.5000 0.4514 0.4936  1 Sb 2.83
Sb: 0.0000 0.8462 0.0000  1 Mg 2.83, 5 Dy 3.06-3.09
Sb: 0.5000 0.1538 0.5000  1 Mg 2.83, 5 Dy 3.06-3.09

Total magnetization = 0.000 μB per atom
Calculated density = 5.79 g cm⁻³
Space group = No. 31



Relative energies in meV per atom: i 70; ii 0



## i
VASP calculation (GGA-PBE) on a relaxed DyMg3Sc crystal.

abc: 5.4468 6.4091 7.7739
angles: 90.00 110.45 90.00
Closest atoms and distances in Å follow each position.
Atoms (fractional coordinates):
Dy: 0.1136 0.2500 0.2278  3 Sc 3.21-3.51, 8 Mg 3.24-3.33
Dy: 0.8864 0.7500 0.7722  3 Sc 3.21-3.51, 8 Mg 3.24-3.33
Mg: 0.3143 0.0010 0.6277  6 Mg 3.06-3.30, 3 Sc 3.16-3.27, 3 Dy 3.32-3.33
Mg: 0.3143 0.4990 0.6277  6 Mg 3.06-3.30, 3 Sc 3.16-3.27, 3 Dy 3.32-3.33
Mg: 0.4935 0.2500 0.9867  6 Mg 3.06-3.24, 2 Sc 3.24, 2 Dy 3.24
Mg: 0.5065 0.7500 0.0133  6 Mg 3.06-3.24, 2 Sc 3.24, 2 Dy 3.24
Mg: 0.6857 0.5010 0.3723  6 Mg 3.06-3.30, 3 Sc 3.16-3.27, 3 Dy 3.32-3.33
Mg: 0.6857 0.9990 0.3723  6 Mg 3.06-3.30, 3 Sc 3.16-3.27, 3 Dy 3.32-3.33
Sc: 0.1264 0.7500 0.2539  8 Mg 3.16-3.27, 3 Dy 3.21-3.51
Sc: 0.8736 0.2500 0.7461  8 Mg 3.16-3.27, 3 Dy 3.21-3.51

Total magnetization = 0.001 μB per atom
Calculated density = 3.66 g cm⁻³
Space group = No. 11



## ii
VASP calculation (GGA-PBE) on a relaxed DyMg3Sc crystal.

abc: 7.6922 7.6922 7.6922
angles: 136.55 118.33 78.43
Closest atoms and distances in Å follow each position.
Atoms (fractional coordinates):
Dy: 0.0000 0.0000 0.0000  4 Sc 3.48, 10 Mg 3.68-3.85
Dy: 0.5000 0.0000 0.5000  4 Sc 3.48, 10 Mg 3.68-3.85
Mg: 0.0000 0.0000 0.5000  6 Mg 2.85-2.95, 2 Sc 3.01
Mg: 0.0000 0.5000 0.0000  6 Mg 2.85-2.95, 2 Sc 3.01
Mg: 0.2612 0.6945 0.5667  5 Mg 2.89-3.14, 2 Sc 3.02-3.19
Mg: 0.3722 0.3055 0.0667  5 Mg 2.89-3.14, 2 Sc 3.02-3.19
Mg: 0.6278 0.6945 0.9333  5 Mg 2.89-3.14, 2 Sc 3.02-3.19
Mg: 0.7388 0.3055 0.4333  5 Mg 2.89-3.14, 2 Sc 3.02-3.19
Sc: 0.2225 0.4725 0.7500  6 Mg 3.01-3.19
Sc: 0.7775 0.5275 0.2500  6 Mg 3.01-3.19

Total magnetization = 0.000 μB per atom
Calculated density = 3.48 g cm⁻³
Space group = No. 74



Relative energies in meV per atom: i 0; ii 107